Record 1
First-principles (GGA-PBE) data for a relaxed structure of CaLa2Re, as listed in Alexandria.

```
4
Lattice="5.057 0.000 0.000 0.000 5.057 0.000 0.000 0.000 4.250" Properties=species:S:1:pos:R:3 pbc="T T T"
Ca 0.000 0.000 0.000
La 0.000 2.528 2.125
La 2.528 0.000 2.125
Re 2.528 2.528 0.000
```

Results
ΔE to the lowest computed polymorph: 320.3 meV per atom
total magnetization: 0.00 Bohr magnetons per cell
E: -5.56 eV per atom
energy relative to the elements: 199 kJ/mol of formula units


Record 2
First-principles (GGA-PBE) data for a relaxed structure of La3YEr2Tm6, as listed in Alexandria.

```
12
Lattice="3.091 -5.353 0.000 3.091 5.353 0.000 -2.057 0.000 11.561" Properties=species:S:1:pos:R:3 pbc="T T T"
La 0.000 0.000 0.000
La 3.091 1.784 0.000
La 3.091 -1.784 0.000
Y 2.063 0.000 5.780
Er 2.063 3.569 5.780
Er 2.063 -3.569 5.780
Tm 1.030 1.789 2.958
Tm -0.004 0.000 8.602
Tm 1.030 -1.789 2.958
Tm 3.096 1.789 8.603
Tm 4.129 0.000 2.959
Tm 3.096 -1.789 8.603
```

Results
total magnetization: 0.00 Bohr magnetons per cell
E: -4.74 eV per atom
energy relative to the elements: 34 kJ/mol of formula units


Record 3
First-principles (GGA-PBE) data for a relaxed structure of Ac2NpPdSe5, as listed in Alexandria.

```
18
Lattice="2.106 -8.858 0.000 2.106 8.858 0.000 0.000 0.000 12.912" Properties=species:S:1:pos:R:3 pbc="T T T"
Ac 2.106 6.928 6.456
Ac 2.106 6.681 11.022
Ac 2.106 -6.681 4.566
Ac 2.106 -6.928 0.000
Np 2.106 5.699 2.269
Np 2.106 -5.699 8.726
Pd 2.106 1.033 7.426
Pd 2.106 -1.033 0.970
Se 2.106 8.492 2.263
Se 2.106 3.520 6.714
Se 2.106 3.420 10.737
Se 2.106 2.796 2.243
Se 2.106 0.039 11.572
Se 2.106 -0.039 5.116
Se 2.106 -2.796 8.699
Se 2.106 -3.420 4.281
Se 2.106 -3.520 0.257
Se 2.106 -8.492 8.720
```

Results
total magnetization: 6.55 Bohr magnetons per cell
E: -6.35 eV per atom


Record 4
First-principles (GGA-PBE) data for a relaxed structure of PRuW, as listed in Alexandria.

```
3
Lattice="0.000 2.894 2.894 2.894 0.000 2.894 2.894 2.894 0.000" Properties=species:S:1:pos:R:3 pbc="T T T"
P 0.000 0.000 0.000
Ru 1.447 1.447 1.447
W 2.894 2.894 2.894
```

Results
total magnetization: 0.00 Bohr magnetons per cell
E: -9.18 eV per atom
energy relative to the elements: 9 kJ/mol of formula units